<w>
Density functional theory data (GGA-PBE) for a relaxed structure of Mg2TlSe.

Properties
Symmetry = F-43m (216)
V = 103 Å³ per cell
ρ = 5.4 Mg/m³

abc: 5.261 5.261 5.261
angles: 60.00 60.00 60.00
Atoms (fractional coordinates):
1 Tl 0.750 0.750 0.750
2 Mg 0.250 0.250 0.250
3 Mg 0.000 0.000 0.000
4 Se 0.500 0.500 0.500

=====

<x>
Density functional theory data (GGA-PBE) for a relaxed structure of Mg2TlSe.

Properties
Symmetry = Immm (71)
V = 100 Å³ per cell
ρ = 5.5 Mg/m³

abc: 5.727 5.727 5.727
angles: 142.52 116.05 76.54
Atoms (fractional coordinates):
1 Tl 0.250 0.750 0.500
2 Se 0.750 0.250 0.500
3 Mg 0.967 0.967 0.000
4 Mg 0.533 0.533 0.000

=====

Which structure is most stable, and how do the rest compare? From most to least stable: <x>, <w>.

=====

<w>
Density functional theory data (GGA-PBE) for a relaxed structure of Mg2TlSe.

Properties
Symmetry = Cmmm (65)
V = 93 Å³ per cell
ρ = 6.0 Mg/m³

abc: 5.035 5.035 3.739
angles: 90.00 90.00 102.33
Atoms (fractional coordinates):
1 Mg 0.500 0.500 0.000
2 Mg 0.000 0.000 0.000
3 Tl 0.000 0.500 0.500
4 Se 0.500 0.000 0.500

=====

<x>
Density functional theory data (GGA-PBE) for a relaxed structure of Mg2TlSe.

Properties
Symmetry = I4/mmm (139)
V = 94 Å³ per cell
ρ = 5.8 Mg/m³

abc: 5.480 5.480 5.480
angles: 129.95 129.95 73.48
Atoms (fractional coordinates):
1 Mg 0.000 0.000 0.000
2 Mg 0.500 0.500 0.000
3 Tl 0.250 0.750 0.500
4 Se 0.750 0.250 0.500

=====

Which structure is most stable, and how do the rest compare? From most to least stable: <w>, <x>.

=====

<w>
Density functional theory data (GGA-PBE) for a relaxed structure of Mg2TlSe.

Properties
Symmetry = Cmmm (65)
V = 99 Å³ per cell
ρ = 5.6 Mg/m³

abc: 3.608 3.608 8.209
angles: 90.00 90.00 112.35
Atoms (fractional coordinates):
1 Mg 0.000 0.000 0.040
2 Mg 0.000 0.000 0.460
3 Tl 0.500 0.500 0.750
4 Se 0.500 0.500 0.250

=====

<x>
Density functional theory data (GGA-PBE) for a relaxed structure of Mg2TlSe.

Properties
Symmetry = P4/mmm (123)
V = 92 Å³ per cell
ρ = 6.0 Mg/m³

abc: 3.469 3.470 7.669
angles: 90.00 90.00 90.00
Atoms (fractional coordinates):
1 Tl 0.500 0.500 0.750
2 Mg 0.000 0.000 0.453
3 Mg 0.000 0.000 0.047
4 Se 0.500 0.500 0.250

=====

Which structure is most stable, and how do the rest compare? From most to least stable: <w>, <x>.

=====

<w>
Density functional theory data (GGA-PBE) for a relaxed structure of MgTlSe.

Properties
Symmetry = F-43m (216)
V = 83 Å³ per cell
ρ = 6.2 Mg/m³

abc: 4.888 4.888 4.888
angles: 60.00 60.00 60.00
Atoms (fractional coordinates):
1 Tl 0.500 0.500 0.500
2 Mg 0.750 0.750 0.750
3 Se 0.000 0.000 0.000

=====

<x>
Density functional theory data (GGA-PBE) for a relaxed structure of MgTlSe.

Properties
Symmetry = R-3m (166)
V = 192 Å³ per cell
ρ = 5.3 Mg/m³

abc: 4.300 4.300 12.243
angles: 79.89 79.89 60.00
Atoms (fractional coordinates):
1 Tl 0.863 0.863 0.410
2 Tl 0.137 0.137 0.590
3 Mg 0.637 0.637 0.090
4 Mg 0.363 0.363 0.910
5 Se 0.713 0.713 0.862
6 Se 0.287 0.287 0.138

=====

<y>
Density functional theory data (GGA-PBE) for a relaxed structure of MgTlSe.

Properties
Symmetry = P3m1 (156)
V = 83 Å³ per cell
ρ = 6.2 Mg/m³

abc: 4.096 4.096 5.715
angles: 90.00 90.00 120.00
Atoms (fractional coordinates):
1 Se 0.667 0.333 0.252
2 Tl 0.333 0.667 0.675
3 Mg 0.000 0.000 0.073

=====

Which structure is most stable, and how do the rest compare? From most to least stable: <x>, <y>, <w>.